Record 1
VASP calculation (PBE) on a relaxed structure of Sr4RhBr.

Values from the calculation:
formation energy without anion corrections = -0.613 eV per atom
M_tot = 0.000 μB per formula unit

```
Sr4RhBr
1.0
6.802 1.463 -2.971
0.036 6.787 -3.353
-0.809 -0.240 11.052
Rh Sr Br
2 8 2
Cartesian
4.001 7.156 4.481
2.028 0.853 0.247
0.878 2.914 1.936
0.349 5.617 -1.738
3.647 2.734 -1.410
2.382 5.275 6.138
1.679 0.738 6.086
5.151 5.096 2.792
4.351 7.271 -1.358
5.680 2.393 6.466
3.283 2.720 4.040
2.747 5.289 0.688
```


Record 2
VASP calculation (PBE) on a relaxed structure of Sr2TlGe3Pt4.

Values from the calculation:
ΔH_f (0 K) = -0.69 eV/atom
M_tot = 0.000 μB per formula unit

```
Sr2TlGe3Pt4
1.0
4.517 0.000 0.000
0.000 4.517 0.000
0.000 0.000 10.486
Pt Ge Sr Tl
4 3 2 1
Cartesian
0.000 2.259 3.676
0.000 0.000 0.000
2.259 0.000 6.811
2.259 2.259 0.000
2.259 0.000 9.273
0.000 0.000 5.243
0.000 2.259 1.214
2.259 0.000 2.551
0.000 2.259 7.936
2.259 2.259 5.243
```


Record 3
VASP calculation (PBE) on a relaxed structure of Ce2ZrSn.

Values from the calculation:
ΔH_f (0 K) = -0.22 eV/atom
M_tot = 3.085 μB per formula unit

```
Ce2ZrSn
1.0
-0.252 3.746 1.730
-3.949 -0.721 0.986
1.851 -2.466 5.609
Sn Zr Ce
1 1 2
Cartesian
-2.100 1.512 1.358
-1.175 0.279 4.163
0.420 -0.560 1.273
1.431 -1.907 4.336
```


Record 4
VASP calculation (PBE) on a relaxed structure of TbZrIrRh.

Values from the calculation:
ΔH_f (0 K) = -0.78 eV/atom
M_tot = 0.000 μB per formula unit

```
TbZrIrRh
1.0
-1.033 -1.230 4.486
-0.274 -4.602 1.205
3.355 -1.941 2.771
Zr Tb Ir Rh
1 1 1 1
Cartesian
1.024 -3.887 4.231
0.000 0.000 0.000
1.536 -5.830 6.347
0.512 -1.943 2.116
```


Record 5
VASP calculation (PBE) on a relaxed structure of KSrAs3.

Values from the calculation:
ΔH_f (0 K) = 0.62 eV/atom
M_tot = 0.000 μB per formula unit

```
KSrAs3
1.0
5.455 0.000 0.000
0.000 5.455 0.000
0.000 0.000 5.455
As Sr K
3 1 1
Cartesian
0.000 0.000 2.727
2.727 0.000 0.000
0.000 2.727 0.000
2.727 2.727 2.727
0.000 0.000 0.000
```


Record 6
VASP calculation (PBE) on a relaxed structure of AcPuHO5.

Values from the calculation:
E_tot = -8.371 eV per atom
M_tot = 2.000 μB per formula unit

```
AcPuHO5
1.0
-1.434 5.095 2.324
-3.916 -4.040 1.323
4.799 -1.907 5.498
H O Pu Ac
2 10 2 2
Cartesian
0.177 -3.652 5.645
-0.728 2.800 3.499
-1.827 3.288 3.297
-2.436 -3.483 2.811
-1.429 0.719 1.152
0.877 -1.572 7.993
0.454 2.621 3.735
0.741 -1.076 3.808
1.275 -4.141 5.847
-1.006 -3.473 5.410
1.884 2.631 6.334
-1.293 0.224 5.336
0.000 0.000 0.000
2.399 -0.953 2.749
1.238 0.255 6.074
-1.790 -1.107 3.071
```


Record 7
VASP calculation (PBE) on a relaxed structure of Ce2PmTl3.

Values from the calculation:
ΔH_f (0 K) = -0.29 eV/atom
M_tot = 2.572 μB per formula unit

```
Ce2PmTl3
1.0
-0.201 3.479 -0.583
-3.110 -0.450 -1.614
-6.493 1.645 12.051
Pm Tl Ce
1 3 2
Cartesian
-4.902 2.337 4.927
-4.321 1.095 8.021
0.000 0.000 0.000
-2.171 0.550 4.030
-7.059 2.883 8.931
-2.744 1.790 0.922
```


Record 8
VASP calculation (PBE) on a relaxed structure of LaTb3.

Values from the calculation:
ΔH_f (0 K) = 0.03 eV/atom
M_tot = 0.000 μB per formula unit

```
LaTb3
1.0
-2.799 -1.518 1.843
-2.105 -2.603 -5.341
5.676 -2.643 2.771
La Tb
1 3
Cartesian
-2.095 -2.591 -5.314
0.887 -3.196 -1.285
-2.455 -2.064 -1.756
0.579 -2.710 2.319
```


Record 9
VASP calculation (PBE) on a relaxed structure of In2NiAg.

Values from the calculation:
ΔH_f (0 K) = 0.11 eV/atom
M_tot = 0.000 μB per formula unit

```
In2NiAg
1.0
4.816 -0.011 0.036
3.764 3.003 0.036
1.273 0.444 5.252
In Ni Ag
2 1 1
Cartesian
1.380 0.481 5.142
4.820 1.681 2.772
7.390 2.578 3.993
2.463 0.859 1.331
```


Record 10
VASP calculation (PBE) on a relaxed structure of CrNi2HIr.

Values from the calculation:
E_tot = -6.691 eV per atom
M_tot = 2.188 μB per formula unit

```
CrNi2HIr
1.0
-2.585 -0.138 -2.646
-0.114 -3.688 0.303
-2.703 0.299 2.626
H Cr Ni Ir
1 1 2 1
Cartesian
0.000 0.000 0.000
-2.701 -1.763 0.142
-0.057 -1.844 0.152
-1.293 -0.069 -1.323
-1.352 0.150 1.313
```


Record 11
VASP calculation (PBE) on a relaxed structure of NiMoPd5.

Values from the calculation:
ΔH_f (0 K) = 0.26 eV/atom
M_tot = 0.493 μB per formula unit

```
NiMoPd5
1.0
5.343 0.253 0.761
1.935 4.987 0.761
3.490 2.513 9.405
Mo Pd Ni
2 10 2
Cartesian
4.996 2.575 3.112
5.773 5.177 7.814
6.710 4.187 5.818
3.046 5.284 3.112
5.649 5.403 3.648
6.414 3.974 9.811
8.661 4.900 8.350
5.119 2.350 7.278
7.722 2.469 7.814
4.059 3.566 5.108
2.107 2.853 2.576
4.354 3.779 1.116
0.000 0.000 0.000
1.745 1.256 4.702
```


Record 12
VASP calculation (PBE) on a relaxed structure of Nd3DyZn.

Values from the calculation:
ΔH_f (0 K) = 0.06 eV/atom
M_tot = 0.000 μB per formula unit

```
Nd3DyZn
1.0
-6.476 -3.814 -0.239
4.150 -2.660 -5.679
4.212 -0.850 6.232
Nd Dy Zn
6 2 2
Cartesian
1.376 -2.170 -0.834
4.022 -3.208 1.929
6.095 -3.822 -0.881
-4.209 -3.502 1.195
0.510 -5.154 1.148
-2.137 -4.116 -1.615
-1.056 -3.492 4.235
2.942 -3.832 -3.921
1.186 -2.596 2.374
0.699 -4.728 -2.060
```